# GaAgPdAu | Alexandria | PBE | optimized geometry
data_GaAgPdAu
_chemical_formula_sum 'Ga1 Ag1 Pd1 Au1'
_cell_length_a 4.543
_cell_length_b 4.543
_cell_length_c 4.543
_cell_angle_alpha 60.00
_cell_angle_beta 60.00
_cell_angle_gamma 60.00
_symmetry_space_group_name_H-M 'P 1'
_symmetry_Int_Tables_number 1
loop_
_symmetry_equiv_pos_as_xyz
'x,y,z'
loop_
_atom_site_label
_atom_site_type_symbol
_atom_site_fract_x
_atom_site_fract_y
_atom_site_fract_z
Ga1 Ga 0.000 0.000 0.000
Ag1 Ag 0.500 0.500 0.500
Pd1 Pd 0.250 0.250 0.250
Au1 Au 0.750 0.750 0.750
# E above lowest polymorph in eV/f.u.: 0.212
# SG: F-43m, No. 216
# V in Å³/cell: 66.3
# Energy of formation in eV/atom: -0.200
# VASP energy in eV/atom: -3.787


# Al2TeSO9 | Alexandria | PBE | optimized geometry
data_Al2TeSO9
_chemical_formula_sum 'Al4 Te2 S2 O18'
_cell_length_a 5.071
_cell_length_b 9.236
_cell_length_c 6.926
_cell_angle_alpha 90.00
_cell_angle_beta 97.01
_cell_angle_gamma 90.00
_symmetry_space_group_name_H-M 'P 1'
_symmetry_Int_Tables_number 1
loop_
_symmetry_equiv_pos_as_xyz
'x,y,z'
loop_
_atom_site_label
_atom_site_type_symbol
_atom_site_fract_x
_atom_site_fract_y
_atom_site_fract_z
Al1 Al 0.239 0.070 0.422
Al2 Al 0.239 0.430 0.422
Al3 Al 0.761 0.570 0.578
Al4 Al 0.761 0.930 0.578
Te1 Te 0.314 0.750 0.363
Te2 Te 0.686 0.250 0.637
S1 S 0.064 0.250 0.053
S2 S 0.936 0.750 0.947
O1 O 0.052 0.118 0.176
O2 O 0.052 0.382 0.176
O3 O 0.061 0.611 0.441
O4 O 0.061 0.889 0.441
O5 O 0.214 0.750 0.073
O6 O 0.270 0.250 0.930
O7 O 0.417 0.250 0.405
O8 O 0.499 0.065 0.664
O9 O 0.499 0.435 0.664
O10 O 0.501 0.565 0.336
O11 O 0.501 0.935 0.336
O12 O 0.583 0.750 0.595
O13 O 0.730 0.750 0.070
O14 O 0.786 0.250 0.927
O15 O 0.939 0.111 0.559
O16 O 0.939 0.389 0.559
O17 O 0.948 0.618 0.824
O18 O 0.948 0.882 0.824
# SG: P2_1/m, No. 11
# V in Å³/cell: 321.9
# Energy relative to the elements, uncorrected in eV/atom: -1.7491
# VASP energy in eV/atom: -6.317


no.,spin magnetization (μB/f.u.),theoretical density (Mg/m³)
1,0.00,12.0
2,0.00,3.7